(1)
{"formula": "NbIr2Pd", "functional": "PBEsol", "state": "optimized geometry", "cell": [[-0.846, 3.705, 2.233], [-4.138, 0.977, 1.163], [-1.206, -0.205, 4.235]], "species": ["Nb", "Ir", "Ir", "Pd"], "fractional_positions": [[0.000, 0.000, 0.000], [0.250, 0.250, 0.250], [0.750, 0.750, 0.750], [0.500, 0.500, 0.500]], "ef_mev_per_atom": -138, "dos_at_fermi_per_ev_fu": 3.56, "dft_energy_ry_per_atom": -0.6795}


(2)
{"formula": "NbIrPd2Ru", "functional": "PBEsol", "state": "optimized geometry", "cell": [[-2.199, 0.894, -3.882], [-3.960, -1.494, 1.899], [-0.902, 4.296, 1.500]], "species": ["Ru", "Nb", "Ir", "Pd", "Pd"], "fractional_positions": [[0.000, 0.000, 0.000], [0.500, 0.500, 0.500], [0.500, 0.000, 0.000], [0.000, 0.000, 0.500], [0.000, 0.500, 0.000]], "ef_mev_per_atom": 1584, "dos_at_fermi_per_ev_fu": 8.41, "dft_energy_ry_per_atom": -0.5117}


Question: Which formula does entry 1 have?
Answer: NbIr2Pd